Computed, not measured: a relaxed BeCrCd2 crystal at the PBE level of DFT.

```
BeCrCd2
1.0
1.521 0.878 8.652
-1.521 0.878 8.652
0.000 -1.756 8.652
Be Cr Cd
1 1 2
Direct
0.000 0.000 0.000
0.500 0.500 0.500
0.257 0.257 0.257
0.743 0.743 0.743
```

Calculated values
total DFT energy (no corrections)	-3.1919	eV per atom
calculated volume	17.33	Å³ per atom
N(E_F)	0.67	states/eV/atom



Computed, not measured: a relaxed Be2CrCd crystal at the PBE level of DFT.

```
Be2CrCd
1.0
2.961 0.000 0.000
0.000 2.961 0.000
0.000 0.000 5.795
Be Cr Cd
2 1 1
Direct
0.000 0.000 0.192
0.000 0.000 0.808
0.500 0.500 0.000
0.500 0.500 0.500
```

Calculated values
total DFT energy (no corrections)	-4.2041	eV per atom
calculated volume	12.70	Å³ per atom
N(E_F)	0.51	states/eV/atom



Computed, not measured: a relaxed BeCr2Cd2 crystal at the PBE level of DFT.

```
BeCr2Cd2
1.0
-1.561 1.561 8.308
1.561 -1.561 8.308
1.561 1.561 -8.308
Be Cr Cd
1 2 2
Direct
0.000 0.000 0.000
0.250 0.750 0.500
0.750 0.250 0.500
0.400 0.400 0.000
0.600 0.600 0.000
```

Calculated values
total DFT energy (no corrections)	-4.2281	eV per atom
calculated volume	16.19	Å³ per atom
N(E_F)	0.74	states/eV/atom
excess energy over the best structure of this formula in the dataset	0.0	meV per atom



Question: Which of these has the lowest N(E_F)?
Answer: Be2CrCd



Question: Which formula does entry 3 have?
Answer: BeCr2Cd2



Question: Number 3 is which compound?
Answer: BeCr2Cd2



Question: What is the formula in the first record?
Answer: BeCrCd2